! Na2SbAuCl6 (GGA-PBE, optimized geometry); values from VASP
! Space-group type ... P1
! Magnetic moment ... 0.0 μB per formula unit
! ΔE_f (raw) ... -1086 meV/atom
&SYSTEM
  ibrav = 0, nat = 10, ntyp = 4
/
ATOMIC_SPECIES
Na 22.99 Na.upf
Sb 121.76 Sb.upf
Au 196.97 Au.upf
Cl 35.45 Cl.upf
ATOMIC_POSITIONS crystal
Na 0.000 0.000 0.000
Na 0.496 0.043 0.550
Sb 0.192 0.402 0.590
Au 0.607 0.393 0.290
Cl 0.102 0.955 0.344
Cl 0.272 0.860 0.796
Cl 0.388 0.548 0.284
Cl 0.550 0.516 0.799
Cl 0.775 0.185 0.291
Cl 0.940 0.243 0.789
CELL_PARAMETERS angstrom
7.042 0.000 0.000
-3.513 6.177 0.000
-0.068 -3.839 6.709